The following is a DFT calculation (PBE) of a geometry-optimized LiPm4Rh structure.

Values from the calculation:
- Magnetization: 0.0 Bohr magnetons per cell
- DFT formation energy: -288 meV per atom
- Polymorph energy (0 for the lowest one): 0 meV/atom
- ρ: 6.65 g/cm3

Cell lengths 14.0199, 14.0199, 14.0199 Å; angles 90.00, 90.00, 90.00 degrees
Last column: nearest neighbours and their distance in Å.
Space group F-43m (No. 216)
One atom of each set of equivalent atoms:
Li: 0.0784 0.0784 0.0784 x16  3 Li 3.11, 3 Pm 3.41
Pm: 0.0000 0.0000 0.3141 x24  2 Rh 2.89
Pm: 0.0633 0.2500 0.2500 x24  2 Li 3.41, 2 Rh 3.59, 10 Pm 3.59-3.73
Pm: 0.1530 0.1530 0.8470 x16  3 Rh 2.88
Rh: 0.1424 0.1424 0.6424 x16  6 Pm 2.88-2.89

The following is a DFT calculation (PBE) of a geometry-optimized LiPm3Rh2 structure.

Values from the calculation:
- Magnetization: 0.0 Bohr magnetons per cell
- DFT formation energy: -455 meV per atom
- ρ: 7.50 g/cm3

Cell lengths 3.5652, 3.5652, 11.2865 Å; angles 90.00, 90.00, 90.00 degrees
Last column: nearest neighbours and their distance in Å.
Space group P4/mmm (No. 123)
One atom of each set of equivalent atoms:
Li: 0.0000 0.0000 0.0000 x1  8 Pm 3.37, 4 Li 3.57
Pm: 0.5000 0.5000 0.1976 x2  4 Rh 2.98
Pm: 0.5000 0.5000 0.5000 x1  8 Rh 3.11, 2 Pm 3.41
Rh: 0.0000 0.0000 0.3384 x2  8 Pm 2.98-3.11

The following is a DFT calculation (PBE) of a geometry-optimized LiPm4Rh3 structure.

Values from the calculation:
- Magnetization: 0.0 Bohr magnetons per cell
- DFT formation energy: -521 meV per atom
- ρ: 8.23 g/cm3

Cell lengths 11.1387, 11.1387, 5.8287 Å; angles 90.00, 90.00, 90.00 degrees
Last column: nearest neighbours and their distance in Å.
Space group I4/mcm (No. 140)
One atom of each set of equivalent atoms:
Li: 0.0000 0.5000 0.2500 x4  2 Li 2.91, 4 Rh 2.93
Pm: 0.0813 0.2199 0.0000 x16  4 Rh 2.94-3.01, 1 Pm 3.13
Rh: 0.0000 0.0000 0.2500 x4  2 Rh 2.91, 8 Pm 2.99
Rh: 0.1611 0.3389 0.5000 x8  2 Li 2.93, 4 Pm 2.94-3.01

The following is a DFT calculation (PBE) of a geometry-optimized LiPm6Rh2 structure.

Values from the calculation:
- Magnetization: 0.0 Bohr magnetons per cell
- DFT formation energy: -274 meV per atom
- ρ: 6.78 g/cm3

Cell lengths 11.7858, 3.8239, 11.8753 Å; angles 90.00, 97.71, 90.00 degrees
Last column: nearest neighbours and their distance in Å.
Space group C2/m (No. 12)
One atom of each set of equivalent atoms:
Li: 0.0000 0.0000 0.0000 x2  8 Pm 3.36-3.67
Pm: 0.0479 0.0000 0.2856 x4  2 Rh 2.94
Pm: 0.1447 0.5000 0.5553 x4  2 Rh 2.84
Pm: 0.1992 0.5000 0.8692 x4  2 Rh 2.89
Rh: 0.2387 0.5000 0.2941 x4  6 Pm 2.84-2.94

The following is a DFT calculation (PBE) of a geometry-optimized LiPmRh2 structure.

Values from the calculation:
- Magnetization: 0.0 Bohr magnetons per cell
- DFT formation energy: -392 meV per atom
- Polymorph energy (0 for the lowest one): 15 meV/atom
- ρ: 8.55 g/cm3

Cell lengths 4.2334, 4.2334, 3.8772 Å; angles 90.00, 90.00, 90.00 degrees
Last column: nearest neighbours and their distance in Å.
Space group P4/mmm (No. 123)
One atom of each set of equivalent atoms:
Li: 0.0000 0.0000 0.0000 x1  8 Rh 2.87, 4 Pm 2.99
Pm: 0.5000 0.5000 0.0000 x1  8 Rh 2.87, 4 Li 2.99
Rh: 0.0000 0.5000 0.5000 x2  4 Li 2.87, 4 Pm 2.87, 4 Rh 2.99

The following is a DFT calculation (PBE) of a geometry-optimized LiPm3Rh3 structure.

Values from the calculation:
- Magnetization: 0.0 Bohr magnetons per cell
- DFT formation energy: -618 meV per atom
- ρ: 8.28 g/cm3

Cell lengths 4.1002, 10.4878, 14.0115 Å; angles 90.00, 90.00, 90.00 degrees
Last column: nearest neighbours and their distance in Å.
Space group Cmcm (No. 63)
One atom of each set of equivalent atoms:
Li: 0.0000 0.0000 0.0000 x4  4 Rh 2.59
Pm: 0.0000 0.0281 0.2500 x4  7 Rh 2.88-3.13
Pm: 0.0000 0.3033 0.1031 x8  6 Rh 2.92-3.03, 2 Li 3.25
Rh: 0.0000 0.2468 0.7500 x4  2 Rh 2.81, 7 Pm 2.88-3.13
Rh: 0.0000 0.4084 0.5901 x8  2 Li 2.59, 1 Rh 2.81

The following is a DFT calculation (PBE) of a geometry-optimized LiPm7Rh4 structure.

Values from the calculation:
- Magnetization: 0.0 Bohr magnetons per cell
- DFT formation energy: -365 meV per atom
- ρ: 7.77 g/cm3

Cell lengths 13.8225, 5.4149, 9.9930 Å; angles 90.00, 124.99, 90.00 degrees
Last column: nearest neighbours and their distance in Å.
Space group C2/m (No. 12)
One atom of each set of equivalent atoms:
Li: 0.0000 0.0000 0.0000 x2  2 Pm 2.71
Pm: 0.0000 0.5000 0.0000 x2  2 Li 2.71, 4 Rh 2.80-2.87
Pm: 0.0819 0.0000 0.3679 x4  1 Rh 2.76
Pm: 0.1709 0.5000 0.6229 x4  1 Rh 2.70
Pm: 0.2077 0.0000 0.8772 x4  4 Rh 3.03-3.15, 3 Pm 3.28-3.38
Rh: 0.0658 0.5000 0.7822 x4  2 Pm 2.70-2.80
Rh: 0.2005 0.5000 0.3346 x4  3 Pm 2.76-3.03

The following is a DFT calculation (PBE) of a geometry-optimized LiPmRh4 structure.

Values from the calculation:
- Magnetization: 0.0 Bohr magnetons per cell
- DFT formation energy: -398 meV per atom
- ρ: 9.01 g/cm3

Cell lengths 7.4608, 7.4608, 7.4608 Å; angles 90.00, 90.00, 90.00 degrees
Last column: nearest neighbours and their distance in Å.
Space group F-43m (No. 216)
One atom of each set of equivalent atoms:
Li: 0.0000 0.0000 0.0000 x4  12 Rh 3.09, 4 Pm 3.23
Pm: 0.2500 0.2500 0.2500 x4  12 Rh 3.09, 4 Li 3.23
Rh: 0.1254 0.1254 0.6254 x16  6 Rh 2.63-2.65

The following is a DFT calculation (PBE) of a geometry-optimized LiPm4Rh structure.

Values from the calculation:
- Magnetization: 0.0 Bohr magnetons per cell
- DFT formation energy: -194 meV per atom
- Polymorph energy (0 for the lowest one): 95 meV/atom
- ρ: 6.85 g/cm3

Cell lengths 3.6459, 6.7167, 7.4139 Å; angles 106.34, 90.05, 105.73 degrees
Last column: nearest neighbours and their distance in Å.
Space group P-1 (No. 2)
One atom of each set of equivalent atoms:
Li: 0.0000 0.0000 0.0000 x1  8 Pm 3.19-3.24
Pm: 0.3554 0.7131 0.1969 x2  2 Rh 3.06, 2 Li 3.23-3.24, 1 Pm 3.42
Pm: 0.3639 0.7271 0.6610 x2  2 Rh 3.02, 2 Li 3.19
Rh: 0.0000 0.0000 0.5000 x1  8 Pm 3.02-3.06

The following is a DFT calculation (PBE) of a geometry-optimized LiPm2Rh2 structure.

Values from the calculation:
- Magnetization: 0.0 Bohr magnetons per cell
- DFT formation energy: -559 meV per atom
- Polymorph energy (0 for the lowest one): 27 meV/atom
- ρ: 7.89 g/cm3

Cell lengths 10.2636, 5.4752, 7.8517 Å; angles 90.00, 106.48, 90.00 degrees
Last column: nearest neighbours and their distance in Å.
Space group C2/c (No. 15)
One atom of each set of equivalent atoms:
Li: 0.0000 0.1336 0.2500 x4  4 Rh 2.60-2.61
Pm: 0.1471 0.3505 0.6502 x8  5 Rh 2.91-3.09, 1 Li 3.25
Rh: 0.1319 0.1446 0.0100 x8  2 Li 2.60-2.61, 1 Rh 2.73

The following is a DFT calculation (PBE) of a geometry-optimized LiPmRh2 structure.

Values from the calculation:
- Magnetization: 0.0 Bohr magnetons per cell
- DFT formation energy: -408 meV per atom
- Polymorph energy (0 for the lowest one): 0 meV/atom
- ρ: 8.56 g/cm3

Cell lengths 6.5225, 6.5225, 6.5225 Å; angles 90.00, 90.00, 90.00 degrees
Last column: nearest neighbours and their distance in Å.
Space group Fm-3m (No. 225)
One atom of each set of equivalent atoms:
Li: 0.0000 0.0000 0.0000 x4  8 Rh 2.82
Pm: 0.0000 0.0000 0.5000 x4  8 Rh 2.82
Rh: 0.2500 0.2500 0.2500 x8  4 Li 2.82, 4 Pm 2.82

The following is a DFT calculation (PBE) of a geometry-optimized LiPm2Sb3Rh4 structure.

Values from the calculation:
- Magnetization: 0.0 Bohr magnetons per cell
- Energy relative to the elements, uncorrected: -0.790 eV/atom
- ρ: 8.71 g/cm3

Cell lengths 4.3037, 4.3037, 11.0487 Å; angles 90.00, 90.00, 90.00 degrees
Last column: nearest neighbours and their distance in Å.
Space group P-4m2 (No. 115)
One atom of each set of equivalent atoms:
Li: 0.0000 0.0000 0.0000 x1  4 Rh 2.61
Pm: 0.0000 0.5000 0.7577 x2  8 Rh 3.27-3.57, 6 Sb 3.32-3.43, 2 Li 3.43
Sb: 0.0000 0.5000 0.3632 x2  5 Rh 2.54-2.63
Sb: 0.5000 0.5000 0.0000 x1  4 Rh 2.61
Rh: 0.0000 0.0000 0.5000 x1  4 Sb 2.63
Rh: 0.0000 0.5000 0.1336 x2  3 Sb 2.54-2.61, 2 Li 2.61
Rh: 0.5000 0.5000 0.5000 x1  4 Sb 2.63